[1]
# PBE-GGA LuBe2Os, relaxed
data_LuBe2Os
_chemical_formula_sum 'Lu3 Be6 Os3'
_symmetry_space_group_name_H-M 'R -3 m'
_symmetry_Int_Tables_number 166
_symmetry_space_group_name_Hall '-R 3 2"'
_cell_length_a 3.8690
_cell_length_b 3.8690
_cell_length_c 13.8662
_cell_angle_alpha 90.00
_cell_angle_beta 90.00
_cell_angle_gamma 120.00
loop_
_atom_site_label
_atom_site_type_symbol
_atom_site_fract_x
_atom_site_fract_y
_atom_site_fract_z
_atom_site_occupancy
Lu1 Lu 0.0000 0.0000 0.0000 1
Be1 Be 0.0000 0.0000 0.1988 1
Os1 Os 0.0000 0.0000 0.5000 1
# * mass density: 10.620 g/cm3
# * electronic total energy: -5.99 eV/atom
# * total moment: 0.00 Bohr magnetons per cell

***

[2]
# PBE-GGA In2HgSb, relaxed
data_In2HgSb
_chemical_formula_sum 'In6 Hg3 Sb3'
_symmetry_space_group_name_H-M 'R -3 m'
_symmetry_Int_Tables_number 166
_symmetry_space_group_name_Hall '-R 3 2"'
_cell_length_a 3.4148
_cell_length_b 3.4148
_cell_length_c 32.4443
_cell_angle_alpha 90.00
_cell_angle_beta 90.00
_cell_angle_gamma 120.00
loop_
_atom_site_label
_atom_site_type_symbol
_atom_site_fract_x
_atom_site_fract_y
_atom_site_fract_z
_atom_site_occupancy
In1 In 0.0000 0.0000 0.2504 1
Hg1 Hg 0.0000 0.0000 0.0000 1
Sb1 Sb 0.0000 0.0000 0.5000 1
# * mass density: 8.392 g/cm3
# * uncorrected formation energy: 5.7 kJ per mole of atoms
# * total moment: 0.00 Bohr magnetons per cell
# * polymorph energy (0 for the lowest one): 5.4 kJ/mol of atoms

***

[3]
# PBE-GGA BaZrSi3O9, relaxed
data_BaZrSi3O9
_chemical_formula_sum 'Ba2 Zr2 Si6 O18'
_symmetry_space_group_name_H-M 'P -6 c 2'
_symmetry_Int_Tables_number 188
_symmetry_space_group_name_Hall 'P -6c 2'
_cell_length_a 6.8630
_cell_length_b 6.8630
_cell_length_c 10.1662
_cell_angle_alpha 90.00
_cell_angle_beta 90.00
_cell_angle_gamma 120.00
loop_
_atom_site_label
_atom_site_type_symbol
_atom_site_fract_x
_atom_site_fract_y
_atom_site_fract_z
_atom_site_occupancy
Ba1 Ba 0.0000 0.0000 0.0000 1
Zr1 Zr 0.6667 0.3333 0.0000 1
Si1 Si 0.0547 0.4444 0.2500 1
O1 O 0.1373 0.4213 0.7500 1
O2 O 0.4062 0.0848 0.1171 1
# * mass density: 3.658 g/cm3
# * uncorrected formation energy: -291.0 kJ per mole of atoms
# * total moment: 0.00 Bohr magnetons per cell

***

[4]
# PBE-GGA LaNbMo3, relaxed
data_LaNbMo3
_chemical_formula_sum 'La1 Nb1 Mo3'
_symmetry_space_group_name_H-M 'P m -3 m'
_symmetry_Int_Tables_number 221
_symmetry_space_group_name_Hall '-P 4 2 3'
_cell_length_a 4.887
_cell_length_b 4.887
_cell_length_c 4.887
_cell_angle_alpha 90.00
_cell_angle_beta 90.00
_cell_angle_gamma 90.00
loop_
_atom_site_label
_atom_site_type_symbol
_atom_site_fract_x
_atom_site_fract_y
_atom_site_fract_z
_atom_site_occupancy
La1 La 0.000 0.000 0.000 1
Nb1 Nb 0.500 0.500 0.500 1
Mo1 Mo 0.000 0.500 0.500 1
# * mass density: 7.395 g/cm3
# * electronic total energy: -8.27 eV/atom
# * total moment: 2.24 Bohr magnetons per cell